1.
This record from Alexandria via LeMat-Bulk describes Dy3HgSCl after structural relaxation. The functional is PBE-GGA.

a b c (Å): 3.916 7.832 10.946
angles (deg): 115.41 90.00 90.00
Element x y z (fractional)
1 Cl 0.250 0.160 0.610
2 Cl 0.750 0.840 0.390
3 S 0.750 0.301 0.887
4 S 0.250 0.699 0.113
5 Dy 0.750 0.486 0.159
6 Dy 0.750 0.943 0.120
7 Dy 0.250 0.057 0.880
8 Dy 0.250 0.514 0.841
9 Dy 0.750 0.295 0.492
10 Dy 0.250 0.705 0.508
11 Hg 0.250 0.281 0.269
12 Hg 0.750 0.719 0.731

As for the uncorrected formation energy: -1.25 eV per atom.

2.
This record from Alexandria via LeMat-Bulk describes LiLaW2 after structural relaxation. The functional is PBE-GGA.

a b c (Å): 4.381 2.848 6.649
angles (deg): 75.03 90.00 90.00
Element x y z (fractional)
1 La 0.000 0.450 0.491
2 W 0.000 0.060 0.012
3 W 0.500 0.212 0.195
4 Li 0.500 0.778 0.802

Its energy relative to the lowest polymorph listed for this composition is 104.7 meV/atom. The calculation puts the formation enthalpy at 0 K at 554 meV per atom.

3.
This record from Alexandria via LeMat-Bulk describes Rb3In4Au2 after structural relaxation. The functional is PBE-GGA.

a b c (Å): 4.899 7.292 10.332
angles (deg): 111.94 90.00 109.63
Element x y z (fractional)
1 In 0.094 0.187 0.639
2 In 0.280 0.561 0.925
3 In 0.720 0.439 0.075
4 In 0.906 0.813 0.361
5 Au 0.321 0.642 0.226
6 Au 0.679 0.358 0.774
7 Rb 0.618 0.237 0.371
8 Rb 0.000 0.000 0.000
9 Rb 0.382 0.763 0.629

Its energy relative to the lowest polymorph listed for this composition is 0.0 meV/atom. The calculation puts the formation enthalpy at 0 K at -184 meV per atom.

4.
This record from Alexandria via LeMat-Bulk describes Mo2WSe after structural relaxation. The functional is PBE-GGA.

a b c (Å): 2.829 2.829 8.836
angles (deg): 90.00 90.00 110.87
Element x y z (fractional)
1 Mo 0.000 0.000 0.507
2 Mo 0.000 0.000 0.993
3 Se 0.500 0.500 0.250
4 W 0.500 0.500 0.750

As for the uncorrected formation energy: 0.34 eV per atom.

What did we get for spin magnetization? Answer: 0.001; 0.000; 0.000; 0.000 μB per formula unit, in the order shown.